# 1
Material: PbAu2Br
Method: DFT, GGA-PBE
State: relaxed

a b c (Å): 3.9897 3.9897 22.1097
angles (deg): 90.00 90.00 120.00
Space group R-3m (No. 166, hexagonal axes)
One atom of each set of equivalent atoms:
Pb 0.0000 0.0000 0.0000 (multiplicity 3)
Au 0.0000 0.0000 0.2518 (multiplicity 6)
Br 0.0000 0.0000 0.5000 (multiplicity 3)

Output
Total energy ... -2.969 eV per atom
Raw formation energy ... 15 meV/atom
Energy relative to the lowest polymorph listed for this composition ... 0.135 eV/atom
D(E_F) ... 6.3 states/eV/cell
ρ ... 11.1 g/cm3
Total magnetization ... 0.0 μB per formula unit

=====

# 2
Material: CsPuZnBr6
Method: DFT, GGA-PBE
State: relaxed

a b c (Å): 7.2869 7.2869 8.0562
angles (deg): 90.00 90.00 120.00
Space group P312 (No. 149)
One atom of each set of equivalent atoms:
Cs 0.0000 0.0000 0.0000 (multiplicity 1)
Pu 0.3333 0.6667 0.5000 (multiplicity 1)
Zn 0.6667 0.3333 0.5000 (multiplicity 1)
Br 0.3852 0.0226 0.6941 (multiplicity 6)

Output
Total energy ... -4.287 eV per atom
Raw formation energy ... -1343 meV/atom
D(E_F) ... 11.0 states/eV/cell
ρ ... 4.1 g/cm3
Total magnetization ... 5.0 μB per formula unit

=====

# 3
Material: ZnRe2Ag
Method: DFT, GGA-PBE
State: relaxed

a b c (Å): 4.0400 4.1138 7.3236
angles (deg): 90.00 90.00 90.00
Space group Imm2 (No. 44)
One atom of each set of equivalent atoms:
Zn 0.0000 0.0000 0.0000 (multiplicity 2)
Re 0.0000 0.0000 0.5018 (multiplicity 2)
Re 0.0000 0.5000 0.2483 (multiplicity 2)
Ag 0.0000 0.5000 0.7492 (multiplicity 2)

Output
Total energy ... -6.757 eV per atom
D(E_F) ... 5.5 states/eV/cell
ρ ... 14.9 g/cm3
Energy relative to the elements ... 0.50 eV/atom
Total magnetization ... 0.0 μB per formula unit

=====

# 4
Material: Tb2PuU2Ru5
Method: DFT, GGA-PBE
State: relaxed

a b c (Å): 10.5998 10.5998 3.5685
angles (deg): 90.00 90.00 90.00
Space group P4/mbm (No. 127)
One atom of each set of equivalent atoms:
Tb 0.1744 0.3256 0.0000 (multiplicity 4)
Pu 0.0000 0.0000 0.0000 (multiplicity 2)
U 0.1360 0.6360 0.0000 (multiplicity 4)
Ru 0.0000 0.5000 0.5000 (multiplicity 2)
Ru 0.0499 0.7913 0.5000 (multiplicity 8)

Output
Total energy ... -9.464 eV per atom
D(E_F) ... 30.1 states/eV/cell
ρ ... 12.8 g/cm3
Energy relative to the elements ... -0.21 eV/atom
Total magnetization ... 4.8 μB per formula unit

=====

# 5
Material: Nd5Sb4O
Method: DFT, GGA-PBE
State: relaxed

a b c (Å): 9.7540 9.7540 6.3676
angles (deg): 90.00 90.00 90.00
Space group I4 (No. 79)
One atom of each set of equivalent atoms:
Nd 0.0000 0.0000 0.0000 (multiplicity 2)
Nd 0.0982 0.7204 0.5863 (multiplicity 8)
Sb 0.0905 0.6973 0.0870 (multiplicity 8)
O 0.0000 0.0000 0.6517 (multiplicity 2)

Output
Total energy ... -5.893 eV per atom
Raw formation energy ... -1364 meV/atom
D(E_F) ... 5.1 states/eV/cell
ρ ... 6.7 g/cm3
Total magnetization ... 0.0 μB per formula unit

=====

# 6
Material: Ac3BeTe6
Method: DFT, GGA-PBE
State: relaxed

a b c (Å): 13.2053 16.3408 7.0916
angles (deg): 90.00 90.00 90.00
Space group Cmc2_1 (No. 36)
One atom of each set of equivalent atoms:
Ac 0.0000 0.1265 0.0000 (multiplicity 4)
Ac 0.1718 0.3927 0.9230 (multiplicity 8)
Be 0.0000 0.3040 0.3594 (multiplicity 4)
Te 0.0000 0.2826 0.7024 (multiplicity 4)
Te 0.0000 0.4505 0.2542 (multiplicity 4)
Te 0.1572 0.0128 0.7039 (multiplicity 8)
Te 0.1590 0.2437 0.2355 (multiplicity 8)

Output
Total energy ... -4.681 eV per atom
Raw formation energy ... -1190 meV/atom
D(E_F) ... 6.8 states/eV/cell
ρ ... 6.3 g/cm3
Total magnetization ... 0.0 μB per formula unit

=====

# 7
Material: Sr2LiZn4Pt3
Method: DFT, GGA-PBE
State: relaxed

a b c (Å): 4.3605 4.3605 10.6820
angles (deg): 90.00 90.00 90.00
Space group P-4m2 (No. 115)
One atom of each set of equivalent atoms:
Sr 0.0000 0.5000 0.2445 (multiplicity 2)
Li 0.0000 0.0000 0.5000 (multiplicity 1)
Zn 0.0000 0.0000 0.0000 (multiplicity 1)
Zn 0.0000 0.5000 0.6279 (multiplicity 2)
Zn 0.5000 0.5000 0.0000 (multiplicity 1)
Pt 0.0000 0.5000 0.8661 (multiplicity 2)
Pt 0.5000 0.5000 0.5000 (multiplicity 1)

Output
Total energy ... -3.464 eV per atom
D(E_F) ... 4.7 states/eV/cell
ρ ... 8.4 g/cm3
Energy relative to the elements ... -0.61 eV/atom
Total magnetization ... 0.0 μB per formula unit

=====

# 8
Material: AlReSN2
Method: DFT, GGA-PBE
State: relaxed

a b c (Å): 3.7554 3.7554 5.7584
angles (deg): 90.00 90.00 90.00
Space group P4/mmm (No. 123)
One atom of each set of equivalent atoms:
Al 0.0000 0.0000 0.0000 (multiplicity 1)
Re 0.0000 0.0000 0.5000 (multiplicity 1)
S 0.5000 0.5000 0.0000 (multiplicity 1)
N 0.0000 0.5000 0.5000 (multiplicity 2)

Output
Total energy ... -6.995 eV per atom
Raw formation energy ... 399 meV/atom
Energy relative to the lowest polymorph listed for this composition ... 0.047 eV/atom
D(E_F) ... 3.1 states/eV/cell
ρ ... 5.6 g/cm3
Total magnetization ... 0.0 μB per formula unit

=====

# 9
Material: Ca2YHg2
Method: DFT, GGA-PBE
State: relaxed

a b c (Å): 8.4448 8.4448 4.1445
angles (deg): 90.00 90.00 90.00
Space group P4/mbm (No. 127)
One atom of each set of equivalent atoms:
Ca 0.1588 0.3412 0.0000 (multiplicity 4)
Y 0.0000 0.0000 0.5000 (multiplicity 2)
Hg 0.1434 0.6434 0.5000 (multiplicity 4)

Output
Total energy ... -2.610 eV per atom
Energy relative to the lowest polymorph listed for this composition ... 0.000 eV/atom
D(E_F) ... 10.2 states/eV/cell
ρ ... 6.4 g/cm3
Energy relative to the elements ... -0.40 eV/atom
Total magnetization ... 0.0 μB per formula unit

=====

# 10
Material: Ce3TmBi4
Method: DFT, GGA-PBE
State: relaxed

a b c (Å): 6.4530 6.4530 6.4530
angles (deg): 90.00 90.00 90.00
Space group Pm-3m (No. 221)
One atom of each set of equivalent atoms:
Ce 0.0000 0.0000 0.5000 (multiplicity 3)
Tm 0.5000 0.5000 0.5000 (multiplicity 1)
Bi 0.0000 0.0000 0.0000 (multiplicity 1)
Bi 0.0000 0.5000 0.5000 (multiplicity 3)

Output
Total energy ... -5.500 eV per atom
Energy relative to the lowest polymorph listed for this composition ... 0.006 eV/atom
D(E_F) ... 19.5 states/eV/cell
ρ ... 8.8 g/cm3
Energy relative to the elements ... -0.78 eV/atom
Total magnetization ... 2.8 μB per formula unit

=====

# 11
Material: AlPSe
Method: DFT, GGA-PBE
State: relaxed

a b c (Å): 4.1894 3.8335 8.1829
angles (deg): 90.00 102.91 90.00
Space group Pm (No. 6)
One atom of each set of equivalent atoms:
Al 0.0000 0.0000 0.0000 (multiplicity 1)
Al 0.1094 0.5000 0.4616 (multiplicity 1)
P 0.4435 0.0000 0.8448 (multiplicity 1)
P 0.5594 0.5000 0.7042 (multiplicity 1)
Se 0.2181 0.5000 0.1699 (multiplicity 1)
Se 0.7641 0.0000 0.4530 (multiplicity 1)

Output
Total energy ... -4.645 eV per atom
Raw formation energy ... -433 meV/atom
ρ ... 3.5 g/cm3
Total magnetization ... 0.0 μB per formula unit

=====

# 12
Material: PbI
Method: DFT, GGA-PBE
State: relaxed

a b c (Å): 8.1705 10.1920 16.3234
angles (deg): 90.00 90.00 90.00
Space group Fddd (No. 70, origin choice 2)
One atom of each set of equivalent atoms:
Pb 0.1250 0.1250 0.0224 (multiplicity 16)
I 0.1250 0.3125 0.6250 (multiplicity 16)

Output
Total energy ... -2.771 eV per atom
Raw formation energy ... -141 meV/atom
D(E_F) ... 13.6 states/eV/cell
ρ ... 6.5 g/cm3
Total magnetization ... 0.0 μB per formula unit